## a
La2HoLu | PBE-GGA | optimized geometry

Summary:
density = 7.72 Mg/m³
symmetry = No. 166
DOS(E_F) = 1.25 states/eV per atom
volume = 132.9 Å³/f.u.
crystal system = trigonal

Cell lengths 3.635, 3.635, 11.798 Å; angles 81.14, 81.14, 60.00 degrees
Sites, in units of the cell vectors:
Lu: 0.500 0.500 0.500
Ho: 0.000 0.000 0.000
La: 0.751 0.751 0.748
La: 0.249 0.249 0.252

=====

## b
La2HoLu | PBE-GGA | optimized geometry

Summary:
density = 7.55 Mg/m³
symmetry = No. 225
DOS(E_F) = 1.63 states/eV per atom
volume = 135.8 Å³/f.u.
crystal system = cubic

Cell lengths 5.769, 5.769, 5.769 Å; angles 60.00, 60.00, 60.00 degrees
Sites, in units of the cell vectors:
Lu: 0.500 0.500 0.500
Ho: 0.000 0.000 0.000
La: 0.250 0.250 0.250
La: 0.750 0.750 0.750

=====

## c
La2HoLu | PBE-GGA | optimized geometry

Summary:
density = 7.63 Mg/m³
symmetry = No. 123
DOS(E_F) = 1.49 states/eV per atom
volume = 134.4 Å³/f.u.
crystal system = tetragonal

Cell lengths 3.730, 3.730, 9.663 Å; angles 90.00, 90.00, 90.00 degrees
Sites, in units of the cell vectors:
Lu: 0.500 0.500 0.000
Ho: 0.500 0.500 0.500
La: 0.000 0.000 0.753
La: 0.000 0.000 0.247

=====

Energies relative to the minimum, kJ/mol of atoms: a 0.0; b 4.9; c 0.7

=====

## a
LaHoLu | PBE-GGA | optimized geometry

Summary:
density = 8.15 Mg/m³
symmetry = No. 107
DOS(E_F) = 1.53 states/eV per atom
volume = 97.6 Å³/f.u.
crystal system = tetragonal

Cell lengths 3.592, 3.592, 7.978 Å; angles 103.01, 103.01, 90.00 degrees
Sites, in units of the cell vectors:
Lu: 0.003 0.003 0.007
Ho: 0.662 0.662 0.325
La: 0.334 0.334 0.668

=====

## b
LaHoLu | PBE-GGA | optimized geometry

Summary:
density = 8.24 Mg/m³
symmetry = No. 187
DOS(E_F) = 1.92 states/eV per atom
volume = 96.5 Å³/f.u.
crystal system = hexagonal

Cell lengths 3.479, 5.659, 5.659 Å; angles 120.00, 90.00, 90.00 degrees
Sites, in units of the cell vectors:
Lu: 0.667 0.667 0.333
Ho: 0.167 0.333 0.667
La: 0.166 0.000 0.000

=====

Energies relative to the minimum, kJ/mol of atoms: a 0.0; b 4.4

=====

## a
LaHoLu2 | PBE-GGA | optimized geometry

Summary:
density = 8.44 Mg/m³
symmetry = No. 123
DOS(E_F) = 1.38 states/eV per atom
volume = 128.6 Å³/f.u.
crystal system = tetragonal

Cell lengths 4.044, 4.044, 7.860 Å; angles 90.00, 90.00, 90.00 degrees
Sites, in units of the cell vectors:
Lu: 0.000 0.000 0.764
Lu: 0.000 0.000 0.236
Ho: 0.500 0.500 0.000
La: 0.500 0.500 0.500

=====

## b
LaHoLu2 | PBE-GGA | optimized geometry

Summary:
density = 8.54 Mg/m³
symmetry = No. 123
DOS(E_F) = 1.78 states/eV per atom
volume = 127.1 Å³/f.u.
crystal system = tetragonal

Cell lengths 4.941, 5.073, 5.073 Å; angles 90.00, 90.00, 90.00 degrees
Sites, in units of the cell vectors:
Lu: 0.000 0.000 0.500
Lu: 0.000 0.500 0.000
Ho: 0.500 0.500 0.500
La: 0.500 0.000 0.000

=====

Energies relative to the minimum, kJ/mol of atoms: a 3.8; b 0.0

=====

## a
La3HoMg | PBE-GGA | optimized geometry

Summary:
density = 5.96 Mg/m³
symmetry = No. 2
DOS(E_F) = 1.40 states/eV per atom
volume = 168.9 Å³/f.u.
crystal system = triclinic

Cell lengths 5.589, 7.048, 9.022 Å; angles 91.76, 108.06, 90.00 degrees
Sites, in units of the cell vectors:
La: 0.029 0.551 0.092
La: 0.412 0.294 0.857
La: 0.633 0.285 0.297
La: 0.014 0.027 0.062
La: 0.225 0.947 0.484
La: 0.819 0.632 0.670
Ho: 0.426 0.785 0.884
Ho: 0.618 0.794 0.270
Mg: 0.228 0.456 0.488
Mg: 0.817 0.123 0.667

=====

## b
La3HoMg | PBE-GGA | optimized geometry

Summary:
density = 5.88 Mg/m³
symmetry = No. 11
DOS(E_F) = 1.44 states/eV per atom
volume = 171.0 Å³/f.u.
crystal system = monoclinic

Cell lengths 3.596, 13.339, 7.200 Å; angles 90.00, 90.00, 97.88 degrees
Sites, in units of the cell vectors:
La: 0.905 0.305 0.013
La: 0.095 0.695 0.987
La: 0.905 0.305 0.487
La: 0.095 0.695 0.513
La: 0.708 0.912 0.750
La: 0.292 0.088 0.250
Ho: 0.498 0.497 0.750
Ho: 0.502 0.503 0.250
Mg: 0.320 0.133 0.750
Mg: 0.680 0.867 0.250

=====

Energies relative to the minimum, kJ/mol of atoms: a 0.0; b 4.1

=====

## a
La2HoMg | PBE-GGA | optimized geometry

Summary:
density = 6.02 Mg/m³
symmetry = No. 139
DOS(E_F) = 1.08 states/eV per atom
volume = 128.9 Å³/f.u.
crystal system = tetragonal

Cell lengths 5.322, 5.322, 9.854 Å; angles 105.69, 105.69, 90.00 degrees
Sites, in units of the cell vectors:
La: 0.864 0.864 0.229
La: 0.136 0.136 0.771
La: 0.500 0.000 0.500
La: 0.000 0.500 0.500
Ho: 0.360 0.360 0.220
Ho: 0.640 0.640 0.780
Mg: 0.250 0.750 0.000
Mg: 0.750 0.250 0.000

=====

## b
La2HoMg | PBE-GGA | optimized geometry

Summary:
density = 5.67 Mg/m³
symmetry = No. 166
DOS(E_F) = 1.28 states/eV per atom
volume = 136.7 Å³/f.u.
crystal system = trigonal

Cell lengths 3.525, 3.525, 12.870 Å; angles 82.13, 82.13, 60.00 degrees
Sites, in units of the cell vectors:
Mg: 0.000 0.000 0.000
Ho: 0.500 0.500 0.500
La: 0.090 0.090 0.731
La: 0.910 0.910 0.269

=====

Energies relative to the minimum, kJ/mol of atoms: a 0.0; b 21.3

=====

## a
La2HoMg | PBE-GGA | optimized geometry

Summary:
density = 5.92 Mg/m³
symmetry = No. 160
DOS(E_F) = 1.34 states/eV per atom
volume = 131.1 Å³/f.u.
crystal system = trigonal

Cell lengths 3.587, 3.587, 11.939 Å; angles 81.36, 81.36, 60.00 degrees
Sites, in units of the cell vectors:
La: 0.084 0.084 0.748
La: 0.249 0.249 0.252
Ho: 0.667 0.667 0.999
Mg: 0.500 0.500 0.501

=====

## b
La2HoMg | PBE-GGA | optimized geometry

Summary:
density = 5.96 Mg/m³
symmetry = No. 225
DOS(E_F) = 1.14 states/eV per atom
volume = 130.1 Å³/f.u.
crystal system = cubic

Cell lengths 5.687, 5.687, 5.687 Å; angles 60.00, 60.00, 60.00 degrees
Sites, in units of the cell vectors:
Mg: 0.500 0.500 0.500
Ho: 0.000 0.000 0.000
La: 0.250 0.250 0.250
La: 0.750 0.750 0.750

=====

Energies relative to the minimum, kJ/mol of atoms: a 4.2; b 0.0

=====

## a
LaHoMg | PBE-GGA | optimized geometry

Summary:
density = 5.96 Mg/m³
symmetry = No. 2
DOS(E_F) = 1.05 states/eV per atom
volume = 91.4 Å³/f.u.
crystal system = triclinic

Cell lengths 5.507, 3.420, 11.663 Å; angles 73.06, 61.84, 90.00 degrees
Sites, in units of the cell vectors:
La: 0.906 0.071 0.736
La: 0.548 0.214 0.593
Ho: 0.203 0.368 0.938
Ho: 0.251 0.916 0.390
Mg: 0.893 0.559 0.248
Mg: 0.560 0.724 0.081

=====

## b
LaHoMg | PBE-GGA | optimized geometry

Summary:
density = 5.96 Mg/m³
symmetry = No. 156
DOS(E_F) = 1.37 states/eV per atom
volume = 91.5 Å³/f.u.
crystal system = trigonal

Cell lengths 3.419, 5.559, 5.559 Å; angles 120.00, 90.00, 90.00 degrees
Sites, in units of the cell vectors:
Mg: 0.300 0.333 0.667
Ho: 0.063 0.000 0.000
La: 0.637 0.667 0.333

=====

## c
LaHoMg | PBE-GGA | optimized geometry

Summary:
density = 5.91 Mg/m³
symmetry = No. 63
DOS(E_F) = 1.13 states/eV per atom
volume = 92.2 Å³/f.u.
crystal system = orthorhombic

Cell lengths 5.367, 5.356, 6.950 Å; angles 112.65, 90.00, 90.00 degrees
Sites, in units of the cell vectors:
La: 0.750 0.589 0.678
La: 0.250 0.411 0.322
Ho: 0.750 0.904 0.309
Ho: 0.250 0.096 0.691
Mg: 0.750 0.251 0.001
Mg: 0.250 0.749 0.999

=====

Energies relative to the minimum, kJ/mol of atoms: a 6.7; b 8.4; c 0.0

=====

## a
LaHoMg | PBE-GGA | optimized geometry

Summary:
density = 5.82 Mg/m³
symmetry = No. 164
DOS(E_F) = 1.31 states/eV per atom
volume = 93.7 Å³/f.u.
crystal system = trigonal

Cell lengths 3.538, 3.538, 17.281 Å; angles 90.00, 90.00, 120.00 degrees
Sites, in units of the cell vectors:
Ho: 0.667 0.333 0.228
Ho: 0.333 0.667 0.772
La: 0.000 0.000 0.399
La: 0.000 0.000 0.601
Mg: 0.667 0.333 0.928
Mg: 0.333 0.667 0.072

=====

## b
LaHoMg | PBE-GGA | optimized geometry

Summary:
density = 5.87 Mg/m³
symmetry = No. 107
DOS(E_F) = 1.35 states/eV per atom
volume = 92.9 Å³/f.u.
crystal system = tetragonal

Cell lengths 3.783, 3.783, 7.019 Å; angles 105.63, 105.63, 90.00 degrees
Sites, in units of the cell vectors:
Mg: 0.674 0.674 0.348
Ho: 0.320 0.320 0.640
La: 0.006 0.006 0.012

=====

Energies relative to the minimum, kJ/mol of atoms: a 10.4; b 0.0

=====

## a
LaHo6Mg | PBE-GGA | optimized geometry

Summary:
density = 7.76 Mg/m³
symmetry = No. 12
DOS(E_F) = 1.52 states/eV per atom
volume = 246.6 Å³/f.u.
crystal system = monoclinic

Cell lengths 5.023, 6.106, 9.256 Å; angles 76.48, 74.26, 65.71 degrees
Sites, in units of the cell vectors:
La: 0.000 0.500 0.500
Ho: 0.249 0.871 0.631
Ho: 0.503 0.240 0.753
Ho: 0.245 0.389 0.122
Ho: 0.497 0.760 0.247
Ho: 0.751 0.129 0.369
Ho: 0.755 0.611 0.878
Mg: 0.000 0.000 0.000

=====

## b
LaHo6Mg | PBE-GGA | optimized geometry

Summary:
density = 7.53 Mg/m³
symmetry = No. 12
DOS(E_F) = 1.72 states/eV per atom
volume = 254.1 Å³/f.u.
crystal system = monoclinic

Cell lengths 7.051, 7.051, 6.974 Å; angles 104.56, 104.56, 121.34 degrees
Sites, in units of the cell vectors:
La: 0.000 0.000 0.000
Ho: 0.258 0.258 0.744
Ho: 0.489 0.038 0.252
Ho: 0.742 0.742 0.256
Ho: 0.962 0.511 0.748
Ho: 0.511 0.962 0.748
Ho: 0.038 0.489 0.252
Mg: 0.500 0.500 0.500

=====

Energies relative to the minimum, kJ/mol of atoms: a 0.0; b 31.8

=====

## a
LaNdHoMg | PBE-GGA | optimized geometry

Summary:
density = 6.19 Mg/m³
symmetry = No. 99
DOS(E_F) = 1.25 states/eV per atom
volume = 126.7 Å³/f.u.
crystal system = tetragonal

Cell lengths 3.759, 3.759, 8.970 Å; angles 90.00, 90.00, 90.00 degrees
Sites, in units of the cell vectors:
La: 0.000 0.000 0.079
Nd: 0.500 0.500 0.793
Ho: 0.500 0.500 0.351
Mg: 0.000 0.000 0.562

=====

## b
LaNdHoMg | PBE-GGA | optimized geometry

Summary:
density = 6.17 Mg/m³
symmetry = No. 216
DOS(E_F) = 1.18 states/eV per atom
volume = 127.2 Å³/f.u.
crystal system = cubic

Cell lengths 5.646, 5.646, 5.646 Å; angles 60.00, 60.00, 60.00 degrees
Sites, in units of the cell vectors:
Mg: 0.000 0.000 0.000
Nd: 0.250 0.250 0.250
Ho: 0.500 0.500 0.500
La: 0.750 0.750 0.750

=====

Energies relative to the minimum, kJ/mol of atoms: a 0.0; b 3.7

=====

## a
LaPmHoMg | PBE-GGA | optimized geometry

Summary:
density = 6.22 Mg/m³
symmetry = No. 216
DOS(E_F) = 1.21 states/eV per atom
volume = 126.4 Å³/f.u.
crystal system = cubic

Cell lengths 5.633, 5.633, 5.633 Å; angles 60.00, 60.00, 60.00 degrees
Sites, in units of the cell vectors:
Mg: 0.000 0.000 0.000
La: 0.750 0.750 0.750
Ho: 0.500 0.500 0.500
Pm: 0.250 0.250 0.250

=====

## b
LaPmHoMg | PBE-GGA | optimized geometry

Summary:
density = 6.24 Mg/m³
symmetry = No. 99
DOS(E_F) = 1.28 states/eV per atom
volume = 125.8 Å³/f.u.
crystal system = tetragonal

Cell lengths 3.754, 3.754, 8.927 Å; angles 90.00, 90.00, 90.00 degrees
Sites, in units of the cell vectors:
La: 0.000 0.000 0.077
Pm: 0.500 0.500 0.792
Ho: 0.500 0.500 0.352
Mg: 0.000 0.000 0.564

=====

Energies relative to the minimum, kJ/mol of atoms: a 3.9; b 0.0

=====

## a
LaSmHoMg | PBE-GGA | optimized geometry

Summary:
density = 6.31 Mg/m³
symmetry = No. 216
DOS(E_F) = 1.22 states/eV per atom
volume = 125.8 Å³/f.u.
crystal system = cubic

Cell lengths 5.625, 5.625, 5.625 Å; angles 60.00, 60.00, 60.00 degrees
Sites, in units of the cell vectors:
Mg: 0.000 0.000 0.000
Ho: 0.500 0.500 0.500
Sm: 0.750 0.750 0.750
La: 0.250 0.250 0.250

=====

## b
LaSmHoMg | PBE-GGA | optimized geometry

Summary:
density = 6.35 Mg/m³
symmetry = No. 99
DOS(E_F) = 1.41 states/eV per atom
volume = 125.2 Å³/f.u.
crystal system = tetragonal

Cell lengths 3.727, 3.727, 9.015 Å; angles 90.00, 90.00, 90.00 degrees
Sites, in units of the cell vectors:
La: 0.000 0.000 0.076
Sm: 0.500 0.500 0.792
Ho: 0.500 0.500 0.351
Mg: 0.000 0.000 0.565

=====

Energies relative to the minimum, kJ/mol of atoms: a 3.9; b 0.0